1.
SrDyCuPt PBE optimized geometry; calculated density = 9.2 Mg/m³; spin magnetization = 0.0 Bohr magnetons per cell; VASP energy = -73.534 eV per cell; density of states at the Fermi level = 14.22 states/eV per cell; SG = F-43m, No. 216; formation energy from the elements = -0.491 eV/atom; V = 367.83 Å³ per cell
1.0
7.165 0.000 0.000
0.000 7.165 0.000
0.000 0.000 7.165
Sr Dy Cu Pt
4 4 4 4
Direct
0.000 0.000 0.000
0.000 0.500 0.500
0.500 0.000 0.500
0.500 0.500 0.000
0.000 0.000 0.500
0.000 0.500 0.000
0.500 0.000 0.000
0.500 0.500 0.500
0.250 0.250 0.750
0.250 0.750 0.250
0.750 0.250 0.250
0.750 0.750 0.750
0.250 0.250 0.250
0.250 0.750 0.750
0.750 0.250 0.750
0.750 0.750 0.250

2.
CdIrAu2 PBE optimized geometry; calculated density = 16.5 Mg/m³; spin magnetization = 0.2 Bohr magnetons per cell; VASP energy = -15.508 eV per cell; density of states at the Fermi level = 3.65 states/eV per cell; SG = P4/mmm, No. 123; formation energy from the elements = 0.206 eV/atom; V = 70.13 Å³ per cell
1.0
2.949 0.000 0.000
0.000 2.949 0.000
0.000 0.000 8.063
Cd Ir Au
1 1 2
Direct
0.000 0.000 0.000
0.000 0.000 0.500
0.500 0.500 0.261
0.500 0.500 0.739

3.
Tb3Nd4Tm PBE optimized geometry; calculated density = 7.5 Mg/m³; spin magnetization = 0.0 Bohr magnetons per cell; ΔE to the lowest computed polymorph = 0.00 eV per formula unit; VASP energy = -74.417 eV per cell; density of states at the Fermi level = 28.93 states/eV per cell; SG = Pmn2_1, No. 31; formation energy from the elements = 0.028 eV/atom; V = 538.63 Å³ per cell
1.0
11.617 0.000 0.000
0.000 7.335 0.000
0.000 0.000 6.321
Tb Nd Tm
6 8 2
Direct
0.000 0.123 0.000
0.250 0.122 0.332
0.250 0.878 0.832
0.500 0.877 0.500
0.750 0.122 0.332
0.750 0.878 0.832
0.000 0.373 0.502
0.000 0.627 0.995
0.247 0.628 0.334
0.253 0.372 0.834
0.500 0.373 0.495
0.500 0.627 0.002
0.747 0.372 0.834
0.753 0.628 0.334
0.000 0.880 0.498
0.500 0.120 0.998

Question: Number 2 is which compound?
Answer: CdIrAu2